1.
Sm4Dy15Mg | PBE-GGA | optimized geometry

Unit cell a=5.013 b=5.013 c=25.098 alpha=90.00 beta=90.00 gamma=90.00
Fractional coordinates of all 20 atoms:
Sm 0.000 0.000 0.101
Sm 0.000 0.000 0.303
Sm 0.000 0.000 0.697
Sm 0.000 0.000 0.899
Dy 0.000 0.500 0.000
Dy 0.000 0.500 0.202
Dy 0.000 0.500 0.403
Dy 0.000 0.500 0.597
Dy 0.000 0.500 0.798
Dy 0.500 0.000 0.000
Dy 0.500 0.000 0.202
Dy 0.500 0.000 0.403
Dy 0.500 0.000 0.597
Dy 0.500 0.000 0.798
Dy 0.500 0.500 0.101
Dy 0.500 0.500 0.304
Dy 0.500 0.500 0.500
Dy 0.500 0.500 0.696
Dy 0.500 0.500 0.899
Mg 0.000 0.000 0.500

Output
Its space group is No. 123. For the formation energy, the calculation gives 0.0196 eV/atom. For the magnetic moment, the calculation gives 0.00 μB per formula unit. The total DFT energy (no corrections) comes out at -4.4556 eV per atom. Its density of states at the Fermi level is 26.3 states/eV/cell.

***

2.
La3Tb3Tm | PBE-GGA | optimized geometry

Unit cell a=8.834 b=8.834 c=8.834 alpha=59.84 beta=59.84 gamma=59.84
Fractional coordinates of all 14 atoms:
La 0.063 0.808 0.301
La 0.192 0.699 0.937
La 0.301 0.063 0.808
La 0.699 0.937 0.192
La 0.808 0.301 0.063
La 0.937 0.192 0.699
Tb 0.060 0.569 0.729
Tb 0.271 0.940 0.431
Tb 0.431 0.271 0.940
Tb 0.569 0.729 0.060
Tb 0.729 0.060 0.569
Tb 0.940 0.431 0.271
Tm 0.351 0.351 0.351
Tm 0.649 0.649 0.649

Output
Its space group is No. 148. For the formation energy, the calculation gives 0.2538 eV/atom. For the magnetic moment, the calculation gives 0.00 μB per formula unit. The total DFT energy (no corrections) comes out at -4.4811 eV per atom. Its density of states at the Fermi level is 21.5 states/eV/cell.

***

3.
Fe2AsP | PBE-GGA | optimized geometry

Unit cell a=2.946 b=4.394 c=4.300 alpha=90.00 beta=109.87 gamma=90.00
Fractional coordinates of all 4 atoms:
Fe 0.000 0.000 0.000
Fe 0.412 0.500 0.823
As 0.123 0.500 0.250
P 0.303 0.000 0.603

Output
Its space group is No. 6. For the formation energy, the calculation gives -0.1772 eV/atom. For the magnetic moment, the calculation gives 0.85 μB per formula unit. The total DFT energy (no corrections) comes out at -6.9234 eV per atom. Its density of states at the Fermi level is 2.7 states/eV/cell.

***

4.
EuThNiRh | PBE-GGA | optimized geometry

Unit cell a=7.026 b=7.026 c=7.026 alpha=90.00 beta=90.00 gamma=90.00
Fractional coordinates of all 16 atoms:
Eu 0.000 0.000 0.000
Eu 0.000 0.500 0.500
Eu 0.500 0.000 0.500
Eu 0.500 0.500 0.000
Th 0.000 0.000 0.500
Th 0.000 0.500 0.000
Th 0.500 0.000 0.000
Th 0.500 0.500 0.500
Ni 0.250 0.250 0.250
Ni 0.250 0.750 0.750
Ni 0.750 0.250 0.750
Ni 0.750 0.750 0.250
Rh 0.250 0.250 0.750
Rh 0.250 0.750 0.250
Rh 0.750 0.250 0.250
Rh 0.750 0.750 0.750

Output
Its space group is No. 216. For the formation energy, the calculation gives -0.4038 eV/atom. For the magnetic moment, the calculation gives 7.08 μB per formula unit. The total DFT energy (no corrections) comes out at -8.1105 eV per atom. Its density of states at the Fermi level is 13.0 states/eV/cell.